(1)
The following is a DFT calculation (GGA-PBE) of a geometry-optimized Tm12MgSc7 structure.

```
20
Lattice="7.142 4.123 3.197 -7.142 4.123 3.197 0.000 -8.247 3.197" Properties=species:S:1:pos:R:3 pbc="T T T"
Tm -5.179 1.241 3.784
Tm -0.658 -2.106 2.416
Tm -3.665 -3.864 5.806
Tm -1.494 1.623 2.416
Tm 1.514 -5.106 3.784
Tm 2.152 0.483 2.416
Tm -2.152 -0.483 7.174
Tm -1.514 5.106 5.806
Tm 1.494 -1.623 7.174
Tm 3.665 3.864 3.784
Tm 0.658 2.106 7.174
Tm 5.179 -1.241 5.806
Mg 0.000 0.000 4.795
Sc 0.000 0.000 0.000
Sc -3.090 -0.983 4.215
Sc -0.694 -3.167 5.375
Sc -2.396 2.184 5.375
Sc 2.396 -2.184 4.215
Sc 0.694 3.167 4.215
Sc 3.090 0.983 5.375
```

energy relative to the elements = 0.1557 eV/atom
magnetic moment = 0.000 μB per atom
density of states at the Fermi level = 35.98 states/eV/f.u.



(2)
The following is a DFT calculation (GGA-PBE) of a geometry-optimized Tm2MgSc7 structure.

```
10
Lattice="2.988 -13.395 0.000 2.988 13.395 0.000 0.000 0.000 3.223" Properties=species:S:1:pos:R:3 pbc="T T T"
Tm 2.988 7.770 0.000
Tm 2.988 -7.770 0.000
Mg 2.988 0.000 1.612
Sc 0.000 0.000 0.000
Sc 1.509 2.584 0.000
Sc 2.988 4.878 1.612
Sc 1.509 -2.584 0.000
Sc 4.467 2.584 0.000
Sc 2.988 -4.878 1.612
Sc 4.467 -2.584 0.000
```

energy relative to the elements = 0.1552 eV/atom
magnetic moment = 0.000 μB per atom
density of states at the Fermi level = 15.26 states/eV/f.u.



(3)
The following is a DFT calculation (GGA-PBE) of a geometry-optimized TmMg15Sc4 structure.

```
20
Lattice="4.573 0.000 0.000 0.000 4.573 0.000 0.000 0.000 22.281" Properties=species:S:1:pos:R:3 pbc="T T T"
Tm 0.000 0.000 0.000
Mg 0.000 2.286 2.324
Mg 0.000 2.286 6.743
Mg 0.000 2.286 11.141
Mg 0.000 2.286 15.539
Mg 0.000 2.286 19.957
Mg 2.286 0.000 2.324
Mg 2.286 0.000 6.743
Mg 2.286 0.000 11.141
Mg 2.286 0.000 15.539
Mg 2.286 0.000 19.957
Mg 2.286 2.286 0.000
Mg 2.286 2.286 4.540
Mg 2.286 2.286 8.945
Mg 2.286 2.286 13.337
Mg 2.286 2.286 17.741
Sc 0.000 0.000 4.542
Sc 0.000 0.000 8.946
Sc 0.000 0.000 13.336
Sc 0.000 0.000 17.739
```

energy relative to the elements = -0.0407 eV/atom
magnetic moment = 0.000 μB per atom
density of states at the Fermi level = 16.69 states/eV/f.u.



(4)
The following is a DFT calculation (GGA-PBE) of a geometry-optimized TmMg2Sc6 structure.

```
9
Lattice="3.057 1.765 7.076 -3.057 1.765 7.076 0.000 -3.530 7.076" Properties=species:S:1:pos:R:3 pbc="T T T"
Tm 0.000 0.000 0.000
Mg 0.000 0.000 3.022
Mg 0.000 0.000 5.953
Sc -1.407 -1.090 8.488
Sc -1.687 -0.613 11.568
Sc -0.241 1.764 8.488
Sc 1.648 -0.673 8.488
Sc 1.374 -1.154 11.568
Sc 0.312 1.767 11.568
```

energy relative to the elements = 0.2248 eV/atom
magnetic moment = 0.000 μB per atom
density of states at the Fermi level = 10.17 states/eV/f.u.



(5)
The following is a DFT calculation (GGA-PBE) of a geometry-optimized Tm2Mg15Sc2 structure.

```
19
Lattice="5.131 2.962 5.078 -5.131 2.962 5.078 0.000 -5.924 5.078" Properties=species:S:1:pos:R:3 pbc="T T T"
Tm 0.000 0.000 2.709
Tm 0.000 0.000 12.526
Mg -2.565 -1.481 5.078
Mg 0.000 -3.013 4.769
Mg -2.609 1.506 4.769
Mg -1.525 -2.641 7.617
Mg -3.050 0.000 7.617
Mg -2.609 -1.506 10.465
Mg -2.565 1.481 10.156
Mg 1.525 -2.641 7.617
Mg 0.000 2.962 5.078
Mg -1.525 2.641 7.617
Mg 2.609 1.506 4.769
Mg 3.050 0.000 7.617
Mg 1.525 2.641 7.617
Mg 2.609 -1.506 10.465
Mg 0.000 3.013 10.465
Sc 0.000 0.000 6.112
Sc 0.000 0.000 9.122
```

energy relative to the elements = 0.0403 eV/atom
magnetic moment = 0.035 μB per atom
density of states at the Fermi level = 14.18 states/eV/f.u.



(6)
The following is a DFT calculation (GGA-PBE) of a geometry-optimized Tm3MgSc7 structure.

```
11
Lattice="6.554 0.000 0.000 -3.277 5.676 0.000 0.000 0.000 8.101" Properties=species:S:1:pos:R:3 pbc="T T T"
Tm 0.000 1.911 0.000
Tm -1.622 4.721 0.000
Tm 1.622 4.721 0.000
Mg 0.000 0.000 5.287
Sc -1.603 2.859 5.273
Sc 0.000 3.784 2.700
Sc 1.644 0.949 2.735
Sc 1.603 2.859 5.273
Sc 0.000 5.635 5.273
Sc 4.911 0.949 2.735
Sc 3.277 3.778 2.735
```

energy relative to the elements = 0.2219 eV/atom
magnetic moment = 0.000 μB per atom
density of states at the Fermi level = 17.07 states/eV/f.u.



(7)
The following is a DFT calculation (GGA-PBE) of a geometry-optimized Tm2MgSc structure.

```
4
Lattice="3.499 0.000 0.000 0.000 3.499 0.000 0.000 0.000 8.858" Properties=species:S:1:pos:R:3 pbc="T T T"
Tm 0.000 0.000 2.202
Tm 0.000 0.000 6.656
Mg 1.750 1.750 4.429
Sc 1.750 1.750 0.000
```

energy relative to the elements = -0.0145 eV/atom
magnetic moment = 0.000 μB per atom
energy above the most stable polymorph in this dataset = 0.0 kJ per mole of atoms
density of states at the Fermi level = 5.99 states/eV/f.u.



(8)
The following is a DFT calculation (GGA-PBE) of a geometry-optimized Tm7Mg2Sc2 structure.

```
11
Lattice="-1.734 8.463 5.446 1.734 -8.463 5.446 1.734 8.463 -5.446" Properties=species:S:1:pos:R:3 pbc="T T T"
Tm 0.000 0.000 0.000
Tm 1.734 -2.924 2.012
Tm 1.734 6.539 -0.588
Tm 1.734 2.924 2.012
Tm 0.000 5.761 2.252
Tm 0.000 1.924 4.858
Tm 0.000 11.164 2.252
Mg 1.734 0.000 2.794
Mg 0.000 0.000 7.566
Sc 1.734 -4.739 4.834
Sc 1.734 4.739 4.834
```

energy relative to the elements = 0.1474 eV/atom
magnetic moment = 0.000 μB per atom
density of states at the Fermi level = 16.35 states/eV/f.u.



Q: What is the formula in the eighth record?
A: Tm7Mg2Sc2